1.
PmNdMgAu after structural relaxation, computed with PBE-GGA.

a b c (Å): 5.343 5.343 5.343
angles (deg): 60.00 60.00 60.00
Atoms (fractional coordinates):
Pm (0.000, 0.000, 0.000)
Nd (0.500, 0.500, 0.500)
Mg (0.750, 0.750, 0.750)
Au (0.250, 0.250, 0.250)

Calculated formation energy (eV/atom): -0.37
Energy relative to the lowest polymorph listed for this composition (eV/f.u.): 0.285
Magnetic moment (μB/atom): 0.00
Space group: F-43m

2.
Si4OsRh after structural relaxation, computed with PBE-GGA.

a b c (Å): 4.830 4.830 4.830
angles (deg): 60.00 60.00 60.00
Atoms (fractional coordinates):
Si (0.125, 0.125, 0.125)
Si (0.125, 0.125, 0.625)
Si (0.125, 0.625, 0.125)
Si (0.625, 0.125, 0.125)
Os (0.750, 0.750, 0.750)
Rh (0.500, 0.500, 0.500)

Formation energy without anion corrections (eV/atom): 0.5010
Magnetic moment (μB/atom): 0.00
Space group: F-43m

3.
TaIr2W after structural relaxation, computed with PBE-GGA.

a b c (Å): 4.828 4.828 2.823
angles (deg): 90.00 90.00 108.27
Atoms (fractional coordinates):
Ta (0.000, 0.000, 0.000)
Ir (0.000, 0.500, 0.500)
Ir (0.500, 0.000, 0.500)
W (0.500, 0.500, 0.000)

Calculated formation energy (eV/atom): -0.44
Energy relative to the lowest polymorph listed for this composition (eV/f.u.): 0.071
Magnetic moment (μB/atom): 0.00
Space group: Cmmm

4.
Sc4SiN2 after structural relaxation, computed with PBE-GGA.

a b c (Å): 6.391 6.391 6.391
angles (deg): 134.01 134.01 67.07
Atoms (fractional coordinates):
Sc (0.000, 0.500, 0.500)
Sc (0.246, 0.246, 0.000)
Sc (0.500, 0.000, 0.500)
Sc (0.754, 0.754, 0.000)
Si (0.500, 0.500, 0.000)
N (0.062, 0.062, 0.000)
N (0.938, 0.938, 0.000)

Formation energy without anion corrections (eV/atom): -0.5063
Magnetic moment (μB/atom): 0.00
Space group: I4/mmm

5.
YAl5Au7 after structural relaxation, computed with PBE-GGA.

a b c (Å): 7.049 7.049 7.049
angles (deg): 133.66 97.45 100.37
Atoms (fractional coordinates):
Y (0.000, 0.000, 0.000)
Al (0.485, 0.497, 0.498)
Al (0.485, 0.987, 0.988)
Al (0.756, 0.256, 0.500)
Al (0.999, 0.497, 0.012)
Al (0.999, 0.987, 0.502)
Au (0.169, 0.478, 0.692)
Au (0.226, 0.726, 0.500)
Au (0.329, 0.329, 0.000)
Au (0.344, 0.010, 0.334)
Au (0.675, 0.010, 0.666)
Au (0.681, 0.681, 0.000)
Au (0.786, 0.478, 0.308)

Calculated formation energy (eV/atom): -0.49
Magnetic moment (μB/atom): 0.00
Space group: Imm2

6.
LaErMnCd after structural relaxation, computed with PBE-GGA.

a b c (Å): 5.280 5.280 5.280
angles (deg): 60.00 60.00 60.00
Atoms (fractional coordinates):
La (0.000, 0.000, 0.000)
Er (0.500, 0.500, 0.500)
Mn (0.250, 0.250, 0.250)
Cd (0.750, 0.750, 0.750)

Calculated formation energy (eV/atom): 0.01
Magnetic moment (μB/atom): 0.78
Space group: F-43m

7.
Na2PmReO6 after structural relaxation, computed with PBE-GGA.

a b c (Å): 5.682 5.855 9.916
angles (deg): 90.00 124.66 90.00
Atoms (fractional coordinates):
Na (0.243, 0.040, 0.253)
Na (0.243, 0.460, 0.753)
Na (0.757, 0.540, 0.247)
Na (0.757, 0.960, 0.747)
Pm (0.500, 0.000, 0.000)
Pm (0.500, 0.500, 0.500)
Re (0.000, 0.000, 0.500)
Re (0.000, 0.500, 0.000)
O (0.115, 0.231, 0.944)
O (0.115, 0.269, 0.444)
O (0.227, 0.678, 0.955)
O (0.227, 0.822, 0.455)
O (0.318, 0.035, 0.722)
O (0.318, 0.465, 0.222)
O (0.682, 0.535, 0.778)
O (0.682, 0.965, 0.278)
O (0.773, 0.178, 0.545)
O (0.773, 0.322, 0.045)
O (0.885, 0.731, 0.556)
O (0.885, 0.769, 0.056)

Formation energy without anion corrections (eV/atom): -2.1305
Magnetic moment (μB/atom): 0.00
Space group: P2_1/c

8.
TlFeIr2 after structural relaxation, computed with PBE-GGA.

a b c (Å): 5.734 5.734 5.734
angles (deg): 101.96 101.96 125.84
Atoms (fractional coordinates):
Tl (0.000, 0.000, 0.000)
Tl (0.750, 0.250, 0.500)
Fe (0.250, 0.750, 0.500)
Fe (0.500, 0.500, 0.000)
Ir (0.180, 0.625, 0.055)
Ir (0.375, 0.430, 0.555)
Ir (0.570, 0.125, 0.945)
Ir (0.875, 0.820, 0.445)

Calculated formation energy (eV/atom): 0.79
Energy relative to the lowest polymorph listed for this composition (eV/f.u.): 1.937
Magnetic moment (μB/atom): 0.00
Space group: I-42d